## Pm3PbS (PBE)

Data for a geometry-optimized Pm3PbS structure.

Lattice parameters (Å, degrees): 5.3453 5.3453 5.3453 90.00 90.00 90.00
With the nearest neighbours (Å) after each atom.
Space group Pm-3m (No. 221)
One atom of each set of equivalent atoms:
Pm1 0.0000 0.0000 0.5000 (multiplicity 3)  2 S 2.67
Pb1 0.5000 0.5000 0.5000 (multiplicity 1)  12 Pm 3.78
S1 0.0000 0.0000 0.0000 (multiplicity 1)  6 Pm 2.67

Output
- total DFT energy (no corrections) (eV per cell) = -26.57

=====

## Pm4Pb3S (PBE)

Data for a geometry-optimized Pm4Pb3S structure.

Lattice parameters (Å, degrees): 9.2574 12.5232 4.2387 90.00 90.00 90.00
With the nearest neighbours (Å) after each atom.
Space group Cmmm (No. 65)
One atom of each set of equivalent atoms:
Pm1 0.0000 0.2387 0.0000 (multiplicity 4)  1 S 2.99, 5 Pb 3.14-3.27
Pm2 0.2249 0.0000 0.5000 (multiplicity 4)  2 S 2.97, 4 Pb 3.14-3.31
Pb1 0.0000 0.5000 0.0000 (multiplicity 2)  6 Pm 3.27-3.31
Pb2 0.2500 0.2500 0.5000 (multiplicity 4)  6 Pm 3.14
S1 0.0000 0.0000 0.0000 (multiplicity 2)  6 Pm 2.97-2.99

Output
- total DFT energy (no corrections) (eV per cell) = -81.66

=====

## PmPb3S4 (PBE)

Data for a geometry-optimized PmPb3S4 structure.

Lattice parameters (Å, degrees): 5.8464 9.1750 9.0123 90.00 90.00 90.00
With the nearest neighbours (Å) after each atom.
Space group Pmmn (No. 59, origin choice 2)
One atom of each set of equivalent atoms:
Pm1 0.2500 0.2500 0.2262 (multiplicity 2)  5 S 2.68-2.93
Pb1 0.2500 0.0561 0.6477 (multiplicity 4)  5 S 2.93-3.09
Pb2 0.2500 0.7500 0.1019 (multiplicity 2)  5 S 2.91-3.07
S1 0.2500 0.2500 0.9283 (multiplicity 2)  1 Pm 2.68, 2 Pb 2.94
S2 0.2500 0.5308 0.3348 (multiplicity 4)  1 Pm 2.76, 4 Pb 2.91-2.94
S3 0.2500 0.7500 0.7607 (multiplicity 2)  2 Pm 2.93, 3 Pb 2.99-3.07

Output
- total DFT energy (no corrections) (eV per cell) = -77.77

=====

## Pm2PbS (PBE)

Data for a geometry-optimized Pm2PbS structure.

Lattice parameters (Å, degrees): 3.5188 3.5188 8.1768 90.00 90.00 90.00
With the nearest neighbours (Å) after each atom.
Space group P4/mmm (No. 123)
One atom of each set of equivalent atoms:
Pm1 0.0000 0.0000 0.2162 (multiplicity 2)  4 S 3.05, 4 Pb 3.40
Pb1 0.5000 0.5000 0.5000 (multiplicity 1)  8 Pm 3.40, 4 Pb 3.52
S1 0.5000 0.5000 0.0000 (multiplicity 1)  8 Pm 3.05

Output
- energy above the most stable polymorph in this dataset (meV per atom) = 163

=====

## Pm2Pb2S5 (PBE)

Data for a geometry-optimized Pm2Pb2S5 structure.

Lattice parameters (Å, degrees): 19.4867 7.1301 7.4708 90.00 90.00 90.00
With the nearest neighbours (Å) after each atom.
Space group Ima2 (No. 46)
One atom of each set of equivalent atoms:
Pm1 0.1295 0.0317 0.0000 (multiplicity 8)  5 S 2.67-2.84
Pb1 0.0000 0.0000 0.4386 (multiplicity 4)  4 S 2.84-2.95
Pb2 0.2500 0.5598 0.0422 (multiplicity 4)  3 S 2.87
S1 0.0645 0.2084 0.7154 (multiplicity 8)  2 Pm 2.76-2.78, 2 Pb 2.84-2.95
S2 0.1423 0.6912 0.8131 (multiplicity 8)  2 Pm 2.81-2.84, 1 Pb 2.87
S3 0.2500 0.1830 0.9089 (multiplicity 4)  2 Pm 2.67, 1 Pb 2.87

Output
- total DFT energy (no corrections) (eV per cell) = -194.77

=====

## Pm2PbS (PBE)

Data for a geometry-optimized Pm2PbS structure.

Lattice parameters (Å, degrees): 3.9971 3.9971 24.0014 90.00 90.00 120.00
With the nearest neighbours (Å) after each atom.
Space group R-3m (No. 166, hexagonal axes)
One atom of each set of equivalent atoms:
Pm1 0.0000 0.0000 0.2338 (multiplicity 6)  3 S 2.81
Pb1 0.0000 0.0000 0.0000 (multiplicity 3)  6 Pm 3.32
S1 0.0000 0.0000 0.5000 (multiplicity 3)  6 Pm 2.81

Output
- energy above the most stable polymorph in this dataset (meV per atom) = 0

=====

These records have volume values of 30.5 30.7 30.2 25.3 28.8 27.7 Å³ per atom, in the order they appear.